1.
The following is a DFT calculation (GGA-PBE) of a relaxed BeFe2Pd2 crystal.

```
data_BeFe2Pd2
_cell_length_a 5.5904
_cell_length_b 5.5904
_cell_length_c 3.9989
_cell_angle_alpha 90.00
_cell_angle_beta 90.00
_cell_angle_gamma 90.00
_symmetry_space_group_name_H-M 'P 4/m b m'
_symmetry_Int_Tables_number 127
_symmetry_space_group_name_Hall '-P 4 2ab'
loop_
_atom_site_label
_atom_site_type_symbol
_atom_site_fract_x
_atom_site_fract_y
_atom_site_fract_z
_atom_site_occupancy
Be1 Be 0.0000 0.0000 0.0000 1
Fe1 Fe 0.1319 0.3681 0.0000 1
Pd1 Pd 0.1725 0.6725 0.5000 1
```

Output
Excess energy over the best structure of this formula in the dataset ... 0.066 eV/atom
Crystal system ... tetragonal
E_tot ... -5.873 eV/atom
DOS(E_F) ... 16.70 states/eV/cell
Total magnetization ... 0.01 μB per cell
E_form ... 32 kJ/mol of atoms


2.
The following is a DFT calculation (GGA-PBE) of a relaxed Tb4Zn3Os crystal.

```
data_Tb4Zn3Os
_cell_length_a 3.5081
_cell_length_b 3.5081
_cell_length_c 14.5229
_cell_angle_alpha 90.00
_cell_angle_beta 90.00
_cell_angle_gamma 90.00
_symmetry_space_group_name_H-M 'P 4/m m m'
_symmetry_Int_Tables_number 123
_symmetry_space_group_name_Hall '-P 4 2'
loop_
_atom_site_label
_atom_site_type_symbol
_atom_site_fract_x
_atom_site_fract_y
_atom_site_fract_z
_atom_site_occupancy
Tb1 Tb 0.0000 0.0000 0.1133 1
Tb2 Tb 0.0000 0.0000 0.3740 1
Zn1 Zn 0.5000 0.5000 0.2501 1
Zn2 Zn 0.5000 0.5000 0.5000 1
Os1 Os 0.5000 0.5000 0.0000 1
```

Output
Crystal system ... tetragonal
E_tot ... -4.503 eV/atom
DOS(E_F) ... 6.66 states/eV/cell
Total magnetization ... 0.00 μB per cell
E_form ... -30 kJ/mol of atoms


3.
The following is a DFT calculation (GGA-PBE) of a relaxed K2TlI crystal.

```
data_K2TlI
_cell_length_a 4.4020
_cell_length_b 4.4020
_cell_length_c 35.1977
_cell_angle_alpha 90.00
_cell_angle_beta 90.00
_cell_angle_gamma 120.00
_symmetry_space_group_name_H-M 'R -3 m'
_symmetry_Int_Tables_number 166
_symmetry_space_group_name_Hall '-R 3 2"'
loop_
_atom_site_label
_atom_site_type_symbol
_atom_site_fract_x
_atom_site_fract_y
_atom_site_fract_z
_atom_site_occupancy
K1 K 0.0000 0.0000 0.0998 1
Tl1 Tl 0.0000 0.0000 0.0000 1
I1 I 0.0000 0.0000 0.5000 1
```

Output
Excess energy over the best structure of this formula in the dataset ... 0.135 eV/atom
E_form (uncorrected) ... -0.51 eV/atom
Crystal system ... trigonal
E_tot ... -2.040 eV/atom
DOS(E_F) ... 5.09 states/eV/cell
Total magnetization ... 0.00 μB per cell


4.
The following is a DFT calculation (GGA-PBE) of a relaxed BaCuGe2 crystal.

```
data_BaCuGe2
_cell_length_a 4.3356
_cell_length_b 18.2685
_cell_length_c 4.7696
_cell_angle_alpha 90.00
_cell_angle_beta 90.00
_cell_angle_gamma 90.00
_symmetry_space_group_name_H-M 'C m m m'
_symmetry_Int_Tables_number 65
_symmetry_space_group_name_Hall '-C 2 2'
loop_
_atom_site_label
_atom_site_type_symbol
_atom_site_fract_x
_atom_site_fract_y
_atom_site_fract_z
_atom_site_occupancy
Ba1 Ba 0.0000 0.1442 0.0000 1
Cu1 Cu 0.0000 0.4266 0.5000 1
Ge1 Ge 0.0000 0.0000 0.5000 1
Ge2 Ge 0.0000 0.2890 0.5000 1
Ge3 Ge 0.0000 0.5000 0.0000 1
```

Output
Crystal system ... orthorhombic
E_tot ... -4.143 eV/atom
DOS(E_F) ... 8.72 states/eV/cell
Total magnetization ... 0.00 μB per cell
E_form ... -32 kJ/mol of atoms


5.
The following is a DFT calculation (GGA-PBE) of a relaxed NaCa2SbH crystal.

```
data_NaCa2SbH
_cell_length_a 5.8913
_cell_length_b 5.8913
_cell_length_c 3.8988
_cell_angle_alpha 90.00
_cell_angle_beta 90.00
_cell_angle_gamma 90.00
_symmetry_space_group_name_H-M 'P 4/m m m'
_symmetry_Int_Tables_number 123
_symmetry_space_group_name_Hall '-P 4 2'
loop_
_atom_site_label
_atom_site_type_symbol
_atom_site_fract_x
_atom_site_fract_y
_atom_site_fract_z
_atom_site_occupancy
Na1 Na 0.0000 0.0000 0.0000 1
Ca1 Ca 0.0000 0.5000 0.0000 1
Sb1 Sb 0.5000 0.5000 0.5000 1
H1 H 0.0000 0.0000 0.5000 1
```

Output
Excess energy over the best structure of this formula in the dataset ... 0.629 eV/atom
Crystal system ... tetragonal
E_tot ... -2.484 eV/atom
DOS(E_F) ... 2.73 states/eV/cell
Total magnetization ... 0.00 μB per cell


6.
The following is a DFT calculation (GGA-PBE) of a relaxed MgRh crystal.

```
data_MgRh
_cell_length_a 7.9854
_cell_length_b 7.9854
_cell_length_c 7.9854
_cell_angle_alpha 90.00
_cell_angle_beta 90.00
_cell_angle_gamma 90.00
_symmetry_space_group_name_H-M 'I -4 3 m'
_symmetry_Int_Tables_number 217
_symmetry_space_group_name_Hall 'I -4 2 3'
loop_
_atom_site_label
_atom_site_type_symbol
_atom_site_fract_x
_atom_site_fract_y
_atom_site_fract_z
_atom_site_occupancy
Mg1 Mg 0.1970 0.1970 0.1970 1
Rh1 Rh 0.1157 0.1157 0.8843 1
```

Output
Crystal system ... cubic
E_tot ... -3.852 eV/atom
DOS(E_F) ... 9.34 states/eV/cell
Total magnetization ... 6.87 μB per cell
E_form ... 60 kJ/mol of atoms


7.
The following is a DFT calculation (GGA-PBE) of a relaxed RbPbS3 crystal.

```
data_RbPbS3
_cell_length_a 5.4038
_cell_length_b 5.4038
_cell_length_c 5.4038
_cell_angle_alpha 90.00
_cell_angle_beta 90.00
_cell_angle_gamma 90.00
_symmetry_space_group_name_H-M 'P m -3 m'
_symmetry_Int_Tables_number 221
_symmetry_space_group_name_Hall '-P 4 2 3'
loop_
_atom_site_label
_atom_site_type_symbol
_atom_site_fract_x
_atom_site_fract_y
_atom_site_fract_z
_atom_site_occupancy
Rb1 Rb 0.0000 0.0000 0.0000 1
Pb1 Pb 0.5000 0.5000 0.5000 1
S1 S 0.0000 0.0000 0.5000 1
```

Output
E_form (uncorrected) ... 0.88 eV/atom
Crystal system ... cubic
E_tot ... -2.536 eV/atom
DOS(E_F) ... 6.19 states/eV/cell
Total magnetization ... 0.00 μB per cell


8.
The following is a DFT calculation (GGA-PBE) of a relaxed TiNb2Cd crystal.

```
data_TiNb2Cd
_cell_length_a 3.9547
_cell_length_b 3.9547
_cell_length_c 20.2271
_cell_angle_alpha 90.00
_cell_angle_beta 90.00
_cell_angle_gamma 90.00
_symmetry_space_group_name_H-M 'I -4 2 d'
_symmetry_Int_Tables_number 122
_symmetry_space_group_name_Hall 'I -4 2bw'
loop_
_atom_site_label
_atom_site_type_symbol
_atom_site_fract_x
_atom_site_fract_y
_atom_site_fract_z
_atom_site_occupancy
Ti1 Ti 0.0000 0.0000 0.0000 1
Nb1 Nb 0.2380 0.2500 0.1250 1
Cd1 Cd 0.0000 0.0000 0.5000 1
```

Output
Crystal system ... tetragonal
E_tot ... -6.715 eV/atom
DOS(E_F) ... 9.80 states/eV/cell
Total magnetization ... 0.00 μB per cell
E_form ... 50 kJ/mol of atoms


9.
The following is a DFT calculation (GGA-PBE) of a relaxed GdTm2Zr crystal.

```
data_GdTm2Zr
_cell_length_a 3.4173
_cell_length_b 3.4173
_cell_length_c 33.7351
_cell_angle_alpha 90.00
_cell_angle_beta 90.00
_cell_angle_gamma 120.00
_symmetry_space_group_name_H-M 'R -3 m'
_symmetry_Int_Tables_number 166
_symmetry_space_group_name_Hall '-R 3 2"'
loop_
_atom_site_label
_atom_site_type_symbol
_atom_site_fract_x
_atom_site_fract_y
_atom_site_fract_z
_atom_site_occupancy
Gd1 Gd 0.0000 0.0000 0.0000 1
Tm1 Tm 0.0000 0.0000 0.2446 1
Zr1 Zr 0.0000 0.0000 0.5000 1
```

Output
Excess energy over the best structure of this formula in the dataset ... 0.000 eV/atom
Crystal system ... trigonal
E_tot ... -7.822 eV/atom
DOS(E_F) ... 17.40 states/eV/cell
Total magnetization ... 22.49 μB per cell
E_form ... 7 kJ/mol of atoms


10.
The following is a DFT calculation (GGA-PBE) of a relaxed SrCdP2Pd4 crystal.

```
data_SrCdP2Pd4
_cell_length_a 4.2356
_cell_length_b 4.2356
_cell_length_c 8.3020
_cell_angle_alpha 90.00
_cell_angle_beta 90.00
_cell_angle_gamma 90.00
_symmetry_space_group_name_H-M 'P 4/m m m'
_symmetry_Int_Tables_number 123
_symmetry_space_group_name_Hall '-P 4 2'
loop_
_atom_site_label
_atom_site_type_symbol
_atom_site_fract_x
_atom_site_fract_y
_atom_site_fract_z
_atom_site_occupancy
Sr1 Sr 0.0000 0.0000 0.0000 1
Cd1 Cd 0.0000 0.0000 0.5000 1
P1 P 0.5000 0.5000 0.1342 1
Pd1 Pd 0.0000 0.5000 0.2813 1
```

Output
Crystal system ... tetragonal
E_tot ... -4.860 eV/atom
DOS(E_F) ... 4.38 states/eV/cell
Total magnetization ... 0.00 μB per cell
E_form ... -57 kJ/mol of atoms


11.
The following is a DFT calculation (GGA-PBE) of a relaxed AcCe2Pm crystal.

```
data_AcCe2Pm
_cell_length_a 3.6342
_cell_length_b 3.6342
_cell_length_c 10.3508
_cell_angle_alpha 90.00
_cell_angle_beta 90.00
_cell_angle_gamma 90.00
_symmetry_space_group_name_H-M 'P 4/m m m'
_symmetry_Int_Tables_number 123
_symmetry_space_group_name_Hall '-P 4 2'
loop_
_atom_site_label
_atom_site_type_symbol
_atom_site_fract_x
_atom_site_fract_y
_atom_site_fract_z
_atom_site_occupancy
Ac1 Ac 0.0000 0.0000 0.0000 1
Ce1 Ce 0.5000 0.5000 0.2585 1
Pm1 Pm 0.0000 0.0000 0.5000 1
```

Output
Excess energy over the best structure of this formula in the dataset ... 0.011 eV/atom
Crystal system ... tetragonal
E_tot ... -5.021 eV/atom
DOS(E_F) ... 11.68 states/eV/cell
Total magnetization ... 2.09 μB per cell
E_form ... 16 kJ/mol of atoms


12.
The following is a DFT calculation (GGA-PBE) of a relaxed BaMgScPt2 crystal.

```
data_BaMgScPt2
_cell_length_a 4.4599
_cell_length_b 4.4599
_cell_length_c 12.0263
_cell_angle_alpha 90.00
_cell_angle_beta 90.00
_cell_angle_gamma 90.00
_symmetry_space_group_name_H-M 'I -4 m 2'
_symmetry_Int_Tables_number 119
_symmetry_space_group_name_Hall 'I -4 -2'
loop_
_atom_site_label
_atom_site_type_symbol
_atom_site_fract_x
_atom_site_fract_y
_atom_site_fract_z
_atom_site_occupancy
Ba1 Ba 0.0000 0.0000 0.0000 1
Mg1 Mg 0.0000 0.5000 0.2500 1
Sc1 Sc 0.0000 0.5000 0.7500 1
Pt1 Pt 0.0000 0.0000 0.3818 1
```

Output
Crystal system ... tetragonal
E_tot ... -5.262 eV/atom
DOS(E_F) ... 5.85 states/eV/cell
Total magnetization ... 0.00 μB per cell
E_form ... -85 kJ/mol of atoms


Copy entry 7 word for word.
The following is a DFT calculation (GGA-PBE) of a relaxed RbPbS3 crystal.

```
data_RbPbS3
_cell_length_a 5.4038
_cell_length_b 5.4038
_cell_length_c 5.4038
_cell_angle_alpha 90.00
_cell_angle_beta 90.00
_cell_angle_gamma 90.00
_symmetry_space_group_name_H-M 'P m -3 m'
_symmetry_Int_Tables_number 221
_symmetry_space_group_name_Hall '-P 4 2 3'
loop_
_atom_site_label
_atom_site_type_symbol
_atom_site_fract_x
_atom_site_fract_y
_atom_site_fract_z
_atom_site_occupancy
Rb1 Rb 0.0000 0.0000 0.0000 1
Pb1 Pb 0.5000 0.5000 0.5000 1
S1 S 0.0000 0.0000 0.5000 1
```

Output
E_form (uncorrected) ... 0.88 eV/atom
Crystal system ... cubic
E_tot ... -2.536 eV/atom
DOS(E_F) ... 6.19 states/eV/cell
Total magnetization ... 0.00 μB per cell